Entry 1:
## RbBeSCl2 (PBE)

Data for a relaxed RbBeSCl2 crystal.

Computed properties:
Polymorph energy (0 for the lowest one): 769 kJ/mol of formula units
Crystal system: tetragonal
Space group: P4/mmm, No. 123
ΔE_f (raw): 0.72 eV/atom
Density of states at the Fermi level: 7.6 states/eV/f.u.

a = 6.2220 Å, b = 6.2220 Å, c = 6.3097 Å
α = 90.00°, β = 90.00°, γ = 90.00°
Fractional coordinates of all 5 atoms:
Rb  0.0000  0.0000  0.0000
Be  0.5000  0.5000  0.5000
S  0.0000  0.0000  0.5000
Cl  0.0000  0.5000  0.0000
Cl  0.5000  0.0000  0.0000

***

Entry 2:
## LiLaNdEr (PBE)

Data for a relaxed LiLaNdEr crystal.

Computed properties:
Crystal system: cubic
Space group: F-43m, No. 216
Energy of formation: 0.6 eV per formula unit
Density of states at the Fermi level: 4.7 states/eV/f.u.

a = 7.9432 Å, b = 7.9432 Å, c = 7.9432 Å
α = 90.00°, β = 90.00°, γ = 90.00°
Fractional coordinates of all 16 atoms:
Li  0.0000  0.0000  0.0000
Li  0.0000  0.5000  0.5000
Li  0.5000  0.0000  0.5000
Li  0.5000  0.5000  0.0000
La  0.2500  0.2500  0.7500
La  0.2500  0.7500  0.2500
La  0.7500  0.2500  0.2500
La  0.7500  0.7500  0.7500
Nd  0.2500  0.2500  0.2500
Nd  0.2500  0.7500  0.7500
Nd  0.7500  0.2500  0.7500
Nd  0.7500  0.7500  0.2500
Er  0.0000  0.0000  0.5000
Er  0.0000  0.5000  0.0000
Er  0.5000  0.0000  0.0000
Er  0.5000  0.5000  0.5000

***

Entry 3:
## ThGa6Co4 (PBE)

Data for a relaxed ThGa6Co4 crystal.

Computed properties:
Crystal system: hexagonal
Space group: P-6m2, No. 187
Energy of formation: -3.5 eV per formula unit
Density of states at the Fermi level: 9.5 states/eV/f.u.

a = 6.9437 Å, b = 6.9437 Å, c = 3.9606 Å
α = 90.00°, β = 90.00°, γ = 120.00°
Fractional coordinates of all 11 atoms:
Th  0.0000  0.0000  0.0000
Ga  0.1996  0.3992  0.5000
Ga  0.1996  0.8004  0.5000
Ga  0.5337  0.0675  0.0000
Ga  0.5337  0.4663  0.0000
Ga  0.6008  0.8004  0.5000
Ga  0.9325  0.4663  0.0000
Co  0.3333  0.6667  0.0000
Co  0.4211  0.2106  0.5000
Co  0.7894  0.2106  0.5000
Co  0.7894  0.5789  0.5000

***

Entry 4:
## PaNbTe (PBE)

Data for a relaxed PaNbTe crystal.

Computed properties:
Polymorph energy (0 for the lowest one): 0 kJ/mol of formula units
Crystal system: tetragonal
Space group: I4/mmm, No. 139
ΔE_f (raw): -0.34 eV/atom
Density of states at the Fermi level: 4.7 states/eV/f.u.

a = 4.4029 Å, b = 4.4029 Å, c = 14.7464 Å
α = 90.00°, β = 90.00°, γ = 90.00°
Fractional coordinates of all 12 atoms:
Pa  0.0000  0.0000  0.1477
Pa  0.0000  0.0000  0.8523
Pa  0.5000  0.5000  0.3523
Pa  0.5000  0.5000  0.6477
Nb  0.0000  0.5000  0.0000
Nb  0.0000  0.5000  0.5000
Nb  0.5000  0.0000  0.0000
Nb  0.5000  0.0000  0.5000
Te  0.0000  0.0000  0.3649
Te  0.0000  0.0000  0.6351
Te  0.5000  0.5000  0.1351
Te  0.5000  0.5000  0.8649

***

Entry 5:
## Sc4N (PBE)

Data for a relaxed Sc4N crystal.

Computed properties:
Polymorph energy (0 for the lowest one): 44 kJ/mol of formula units
Crystal system: cubic
Space group: Pm-3m, No. 221
ΔE_f (raw): -0.61 eV/atom
Density of states at the Fermi level: 7.7 states/eV/f.u.

a = 4.5771 Å, b = 4.5771 Å, c = 4.5771 Å
α = 90.00°, β = 90.00°, γ = 90.00°
Fractional coordinates of all 5 atoms:
Sc  0.0000  0.0000  0.0000
Sc  0.0000  0.5000  0.5000
Sc  0.5000  0.0000  0.5000
Sc  0.5000  0.5000  0.0000
N  0.5000  0.5000  0.5000

***

Entry 6:
## Dy4Sb6O19 (PBE)

Data for a relaxed Dy4Sb6O19 crystal.

Computed properties:
Crystal system: triclinic
Space group: P1, No. 1
ΔE_f (raw): -2.03 eV/atom

a = 8.0897 Å, b = 8.1016 Å, c = 8.1907 Å
α = 108.40°, β = 111.14°, γ = 108.23°
Fractional coordinates of all 29 atoms:
Dy  0.0000  0.0000  0.0000
Dy  0.0019  0.2621  0.7155
Dy  0.2712  0.9664  0.6928
Dy  0.7250  0.6824  0.4090
Sb  0.1454  0.4991  0.3901
Sb  0.3248  0.8045  0.2034
Sb  0.4808  0.3021  0.5270
Sb  0.5006  0.6363  0.8808
Sb  0.6537  0.1322  0.2033
Sb  0.8335  0.4369  0.0164
O  0.0005  0.9792  0.7041
O  0.0084  0.6879  0.4441
O  0.0399  0.7332  0.0571
O  0.2320  0.2476  0.3073
O  0.2813  0.5807  0.9533
O  0.3273  0.6989  0.6913
O  0.3474  0.3266  0.7044
O  0.3483  0.9741  0.0635
O  0.3519  0.0112  0.4547
O  0.3991  0.6662  0.3510
O  0.5867  0.1934  0.9807
O  0.6198  0.3595  0.3716
O  0.6261  0.6043  0.7030
O  0.6329  0.9656  0.3416
O  0.6643  0.6070  0.1011
O  0.7125  0.9298  0.0343
O  0.7332  0.3178  0.7152
O  0.9368  0.2858  0.4255
O  0.9702  0.2483  0.9644

***

Entry 7:
## Ba6P2I3O (PBE)

Data for a relaxed Ba6P2I3O crystal.

Computed properties:
Crystal system: monoclinic
Space group: C2/m, No. 12
ΔE_f (raw): -1.55 eV/atom
Density of states at the Fermi level: 3.4 states/eV/f.u.

a = 7.8696 Å, b = 7.8696 Å, c = 8.7597 Å
α = 98.65°, β = 98.65°, γ = 119.87°
Fractional coordinates of all 12 atoms:
Ba  0.0639  0.3740  0.1917
Ba  0.2477  0.2477  0.8035
Ba  0.3740  0.0639  0.1917
Ba  0.6260  0.9361  0.8083
Ba  0.7523  0.7523  0.1965
Ba  0.9361  0.6260  0.8083
P  0.3340  0.6660  0.0000
P  0.6660  0.3340  0.0000
I  0.1735  0.8265  0.5000
I  0.5000  0.5000  0.5000
I  0.8265  0.1735  0.5000
O  0.0000  0.0000  0.0000

***

Entry 8:
## Ba2NdPbS4 (PBE)

Data for a relaxed Ba2NdPbS4 crystal.

Computed properties:
Crystal system: orthorhombic
Space group: Imma, No. 74
ΔE_f (raw): -1.63 eV/atom
Density of states at the Fermi level: 2.6 states/eV/f.u.

a = 8.6913 Å, b = 8.6913 Å, c = 8.6913 Å
α = 120.50°, β = 119.61°, γ = 89.90°
Fractional coordinates of all 16 atoms:
Ba  0.0000  0.0000  0.0000
Ba  0.5000  0.0000  0.0000
Ba  0.5000  0.0000  0.5000
Ba  0.5000  0.5000  0.5000
Nd  0.0000  0.0000  0.5000
Nd  0.0000  0.5000  0.0000
Pb  0.0000  0.5000  0.5000
Pb  0.5000  0.5000  0.0000
S  0.2229  0.7448  0.4781
S  0.2334  0.2552  0.9781
S  0.2370  0.2477  0.5107
S  0.2370  0.7263  0.9893
S  0.7630  0.2737  0.0107
S  0.7630  0.7523  0.4893
S  0.7666  0.7448  0.0219
S  0.7771  0.2552  0.5219

***

Entry 9:
## KMoS2N (PBE)

Data for a relaxed KMoS2N crystal.

Computed properties:
Polymorph energy (0 for the lowest one): 0 kJ/mol of formula units
Crystal system: tetragonal
Space group: P4/mmm, No. 123
ΔE_f (raw): -0.33 eV/atom
Density of states at the Fermi level: 3.9 states/eV/f.u.

a = 4.9096 Å, b = 4.9096 Å, c = 3.8930 Å
α = 90.00°, β = 90.00°, γ = 90.00°
Fractional coordinates of all 5 atoms:
K  0.0000  0.0000  0.0000
Mo  0.5000  0.5000  0.5000
S  0.0000  0.5000  0.5000
S  0.5000  0.0000  0.5000
N  0.5000  0.5000  0.0000

***

Entry 10:
## ErTm2Ir3 (PBE)

Data for a relaxed ErTm2Ir3 crystal.

Computed properties:
Crystal system: trigonal
Space group: P-3m1, No. 164
Energy of formation: -5.4 eV per formula unit
Density of states at the Fermi level: 2.5 states/eV/f.u.

a = 4.7894 Å, b = 4.7894 Å, c = 5.8659 Å
α = 90.00°, β = 90.00°, γ = 120.00°
Fractional coordinates of all 6 atoms:
Er  0.0000  0.0000  0.0000
Tm  0.3333  0.6667  0.6663
Tm  0.6667  0.3333  0.3337
Ir  0.0000  0.0000  0.5000
Ir  0.3333  0.6667  0.1675
Ir  0.6667  0.3333  0.8325

***

Entry 11:
## BaAc2GeO6 (PBE)

Data for a relaxed BaAc2GeO6 crystal.

Computed properties:
Crystal system: tetragonal
Space group: P4mm, No. 99
ΔE_f (raw): -2.59 eV/atom
Density of states at the Fermi level: 0.0 states/eV/f.u.

a = 5.7154 Å, b = 5.7154 Å, c = 5.6937 Å
α = 90.00°, β = 90.00°, γ = 90.00°
Fractional coordinates of all 10 atoms:
Ba  0.0000  0.0000  0.0000
Ac  0.0000  0.5000  0.4606
Ac  0.5000  0.0000  0.4606
Ge  0.5000  0.5000  0.0941
O  0.0000  0.0000  0.5569
O  0.2802  0.2802  0.2126
O  0.2802  0.7198  0.2126
O  0.5000  0.5000  0.7770
O  0.7198  0.2802  0.2126
O  0.7198  0.7198  0.2126

***

Entry 12:
## HfScP2Ru (PBE)

Data for a relaxed HfScP2Ru crystal.

Computed properties:
Crystal system: tetragonal
Space group: P4/mmm, No. 123
Energy of formation: 1.5 eV per formula unit
Density of states at the Fermi level: 7.0 states/eV/f.u.

a = 4.6218 Å, b = 4.6218 Å, c = 4.6470 Å
α = 90.00°, β = 90.00°, γ = 90.00°
Fractional coordinates of all 5 atoms:
Hf  0.0000  0.0000  0.0000
Sc  0.5000  0.5000  0.0000
P  0.0000  0.5000  0.5000
P  0.5000  0.0000  0.5000
Ru  0.5000  0.5000  0.5000

***

The records above give, respectively, magnetic moment values of 3.05, 0.00, 0.00, 0.00, 2.22, 0.00, 0.00, 0.00, 0.00, 0.00, 0.00, 0.00 μB/f.u..